1.
Compound: CoCu2W
Source: Alexandria via LeMat-Bulk
Functional: PBE
Structure: optimized geometry

The space group is Fm-3m (No. 225) and the conventional cell measures 5.854, 5.854 and 5.854 Å, with angles of 90.00, 90.00 and 90.00 degrees. Symmetry generates all atoms from Co at (0.000, 0.000, 0.000), Cu at (0.250, 0.250, 0.250) and W at (0.000, 0.000, 0.500).

The formation energy is 1.7 eV per formula unit. The relative energy among the computed polymorphs comes out at 246.1 meV per atom. As for the size of the total moment: 0.0 μB per formula unit.



2.
Compound: Tc2AsOs
Source: Alexandria via LeMat-Bulk
Functional: PBE
Structure: optimized geometry

The space group is I4/mmm (No. 139) and the conventional cell measures 3.811, 3.811 and 7.991 Å, with angles of 90.00, 90.00 and 90.00 degrees. Symmetry generates all atoms from Tc at (0.000, 0.500, 0.250), As at (0.000, 0.000, 0.000) and Os at (0.000, 0.000, 0.500).

The formation energy is 1.2 eV per formula unit. As for the size of the total moment: 0.0 μB per formula unit.



3.
Compound: Na8Tl6In
Source: Alexandria via LeMat-Bulk
Functional: PBE
Structure: optimized geometry

The space group is R-3 (No. 148, hexagonal axes) and the conventional cell measures 9.0270, 9.0270 and 19.8116 Å, with angles of 90.00, 90.00 and 120.00 degrees. Symmetry generates all atoms from Na at (0.0000, 0.0000, 0.1024), Na at (0.0327, 0.7666, 0.6271), Tl at (0.0088, 0.2917, 0.2069) and In at (0.0000, 0.0000, 0.5000).

The formation energy is -1.0 eV per formula unit. The relative energy among the computed polymorphs comes out at 4.5 meV per atom. As for the size of the total moment: 0.0 μB per formula unit.



4.
Compound: LaCeY2
Source: Alexandria via LeMat-Bulk
Functional: PBE
Structure: optimized geometry

The space group is P4/mmm (No. 123) and the conventional cell measures 3.596, 3.596 and 10.167 Å, with angles of 90.00, 90.00 and 90.00 degrees. Symmetry generates all atoms from La at (0.000, 0.000, 0.000), Ce at (0.000, 0.000, 0.500) and Y at (0.500, 0.500, 0.263).

The formation energy is 0.3 eV per formula unit. The relative energy among the computed polymorphs comes out at 12.2 meV per atom. As for the size of the total moment: 0.6 μB per formula unit.



5.
Compound: Na3NpO6
Source: Alexandria via LeMat-Bulk
Functional: PBE
Structure: optimized geometry

The space group is P-1 (No. 2) and the conventional cell measures 5.404, 6.203 and 8.551 Å, with angles of 90.02, 90.18 and 90.19 degrees. Symmetry generates all atoms from Na at (0.000, 0.000, 0.000), Na at (0.024, 0.450, 0.269), Na at (0.476, 0.950, 0.231), Na at (0.500, 0.500, 0.500), Np at (0.000, 0.000, 0.500), Np at (0.500, 0.500, 0.000), O at (0.043, 0.048, 0.276), O at (0.078, 0.297, 0.533), O at (0.085, 0.412, 0.978), O at (0.414, 0.912, 0.521), O at (0.424, 0.796, 0.966) and O at (0.457, 0.549, 0.224).

The value obtained for the energy relative to the elements, uncorrected is -1.950 eV per atom. The relative energy among the computed polymorphs comes out at 0.0 meV per atom. As for the size of the total moment: 0.0 μB per formula unit.



6.
Compound: HfCuAu6
Source: Alexandria via LeMat-Bulk
Functional: PBE
Structure: optimized geometry

The space group is P-1 (No. 2) and the conventional cell measures 5.257, 5.266 and 5.268 Å, with angles of 92.71, 92.38 and 92.68 degrees. Symmetry generates all atoms from Hf at (0.000, 0.000, 0.000), Cu at (0.500, 0.500, 0.500), Au at (0.056, 0.253, 0.521), Au at (0.253, 0.520, 0.057) and Au at (0.480, 0.944, 0.747).

The formation energy is -1.3 eV per formula unit. As for the size of the total moment: 0.0 μB per formula unit.



7.
Compound: ZrCu2Sn2
Source: Alexandria via LeMat-Bulk
Functional: PBE
Structure: optimized geometry

The space group is P4/mbm (No. 127) and the conventional cell measures 7.576, 7.576 and 3.260 Å, with angles of 90.00, 90.00 and 90.00 degrees. Symmetry generates all atoms from Zr at (0.000, 0.000, 0.000), Cu at (0.116, 0.384, 0.000) and Sn at (0.181, 0.681, 0.500).

The formation energy is -0.6 eV per formula unit. As for the size of the total moment: 0.0 μB per formula unit.



8.
Compound: Ru2PbW
Source: Alexandria via LeMat-Bulk
Functional: PBE
Structure: optimized geometry

The space group is P2/m (No. 10) and the conventional cell measures 3.066, 3.096 and 7.615 Å, with angles of 90.00, 98.44 and 90.00 degrees. Symmetry generates all atoms from Ru at (0.089, 0.000, 0.200), Pb at (0.500, 0.500, 0.500) and W at (0.500, 0.500, 0.000).

The formation energy is 1.1 eV per formula unit. As for the size of the total moment: 0.0 μB per formula unit.